No. 1
TlIr2Rh after structural relaxation, computed with GGA-PBE.

abc: 3.901 3.901 9.875
angles: 78.61 78.61 90.00
Element x y z (fractional)
Ir: 0.375 0.424 0.750
Ir: 0.576 0.125 0.250
Ir: 0.875 0.826 0.750
Ir: 0.174 0.625 0.250
Rh: 0.500 0.500 0.000
Rh: 0.250 0.750 0.500
Tl: 0.000 0.000 0.000
Tl: 0.750 0.250 0.500

Computed properties:
The space-group type is I-42d, No. 122. Its total magnetic moment is 0.00 Bohr magnetons per cell. The calculation puts the formation energy at 0.65 eV per atom. The calculation puts the total energy at -49.64 eV for the cell shown. The value obtained for the polymorph energy (0 for the lowest one) is 8.27 kcal/mol of atoms. The density is 15.916 g/cm3.

No. 2
TlIr2Rh2 after structural relaxation, computed with GGA-PBE.

abc: 7.696 7.696 2.819
angles: 90.00 90.00 90.00
Element x y z (fractional)
Ir: 0.120 0.380 0.000
Ir: 0.880 0.620 0.000
Ir: 0.380 0.880 0.000
Ir: 0.620 0.120 0.000
Rh: 0.176 0.676 0.500
Rh: 0.324 0.176 0.500
Rh: 0.676 0.824 0.500
Rh: 0.824 0.324 0.500
Tl: 0.000 0.000 0.000
Tl: 0.500 0.500 0.000

Computed properties:
The space-group type is P4/mbm, No. 127. Its total magnetic moment is 0.00 Bohr magnetons per cell. The calculation puts the formation energy at 0.34 eV per atom. The calculation puts the total energy at -66.17 eV for the cell shown. The value obtained for the polymorph energy (0 for the lowest one) is 0.00 kcal/mol of atoms. The density is 15.807 g/cm3.

No. 3
TlIrRh after structural relaxation, computed with GGA-PBE.

abc: 6.224 6.224 6.224
angles: 152.56 152.56 39.19
Element x y z (fractional)
Ir: 0.011 0.011 0.000
Rh: 0.656 0.656 0.000
Tl: 0.332 0.332 0.000

Computed properties:
The space-group type is I4mm, No. 107. Its total magnetic moment is 0.00 Bohr magnetons per cell. The calculation puts the formation energy at 0.38 eV per atom. The calculation puts the total energy at -17.44 eV for the cell shown. The value obtained for the polymorph energy (0 for the lowest one) is 0.00 kcal/mol of atoms. The density is 16.230 g/cm3.

No. 4
Tl2IrRh after structural relaxation, computed with GGA-PBE.

abc: 3.143 4.352 5.639
angles: 90.00 90.00 90.00
Element x y z (fractional)
Tl: 0.000 0.000 0.940
Tl: 0.500 0.500 0.311
Ir: 0.000 0.000 0.451
Rh: 0.500 0.500 0.799

Computed properties:
The space-group type is Pmm2, No. 25. Its total magnetic moment is 0.00 Bohr magnetons per cell. The calculation puts the formation energy at 0.45 eV per atom. The calculation puts the total energy at -19.16 eV for the cell shown. The value obtained for the polymorph energy (0 for the lowest one) is 2.40 kcal/mol of atoms. The density is 15.150 g/cm3.

No. 5
TlIr2Rh after structural relaxation, computed with GGA-PBE.

abc: 2.876 4.719 4.829
angles: 90.00 90.00 90.00
Element x y z (fractional)
Tl: 0.000 0.500 0.500
Rh: 0.500 0.000 0.500
Ir: 0.500 0.500 0.000
Ir: 0.000 0.000 0.000

Computed properties:
The space-group type is Pmmm, No. 47. Its total magnetic moment is 0.00 Bohr magnetons per cell. The calculation puts the formation energy at 0.46 eV per atom. The calculation puts the total energy at -25.62 eV for the cell shown. The value obtained for the polymorph energy (0 for the lowest one) is 3.69 kcal/mol of atoms. The density is 17.529 g/cm3.

No. 6
Tl2IrRh after structural relaxation, computed with GGA-PBE.

abc: 4.701 4.701 4.701
angles: 60.00 60.00 60.00
Element x y z (fractional)
Rh: 0.000 0.000 0.000
Tl: 0.750 0.750 0.750
Tl: 0.250 0.250 0.250
Ir: 0.500 0.500 0.500

Computed properties:
The space-group type is Fm-3m, No. 225. Its total magnetic moment is 0.00 Bohr magnetons per cell. The calculation puts the formation energy at 0.35 eV per atom. The calculation puts the total energy at -19.55 eV for the cell shown. The value obtained for the polymorph energy (0 for the lowest one) is 0.14 kcal/mol of atoms. The density is 15.906 g/cm3.

No. 7
TlIr2Rh after structural relaxation, computed with GGA-PBE.

abc: 4.532 4.532 4.532
angles: 60.00 60.00 60.00
Last column: magnetic moment on the atom in μB.
Element x y z (fractional)
Tl: 0.500 0.500 0.500  -0.01
Rh: 0.000 0.000 0.000  0.30
Ir: 0.750 0.750 0.750  0.43
Ir: 0.250 0.250 0.250  0.43

Computed properties:
The space-group type is Fm-3m, No. 225. Its total magnetic moment is 1.15 Bohr magnetons per cell. The calculation puts the formation energy at 0.59 eV per atom. The calculation puts the total energy at -25.08 eV for the cell shown. The value obtained for the polymorph energy (0 for the lowest one) is 6.81 kcal/mol of atoms. The density is 17.451 g/cm3.

No. 8
TlIr2Rh after structural relaxation, computed with GGA-PBE.

abc: 9.223 9.223 9.223
angles: 18.05 18.05 18.05
Element x y z (fractional)
Ir: 0.750 0.750 0.750
Ir: 0.006 0.006 0.006
Tl: 0.249 0.249 0.249
Rh: 0.495 0.495 0.495

Computed properties:
The space-group type is R3m, No. 160. Its total magnetic moment is 0.00 Bohr magnetons per cell. The calculation puts the formation energy at 0.42 eV per atom. The calculation puts the total energy at -25.78 eV for the cell shown. The value obtained for the polymorph energy (0 for the lowest one) is 2.77 kcal/mol of atoms. The density is 17.468 g/cm3.

No. 9
TmTlIrRh after structural relaxation, computed with GGA-PBE.

abc: 4.711 4.711 4.711
angles: 60.00 60.00 60.00
Element x y z (fractional)
Ir: 0.500 0.500 0.500
Rh: 0.000 0.000 0.000
Tl: 0.250 0.250 0.250
Tm: 0.750 0.750 0.750

Computed properties:
The space-group type is F-43m, No. 216. Its total magnetic moment is 0.00 Bohr magnetons per cell. The calculation puts the formation energy at -0.43 eV per atom. The calculation puts the total energy at -24.79 eV for the cell shown. The density is 15.014 g/cm3.

No. 10
ZrTlIrRh after structural relaxation, computed with GGA-PBE.

abc: 4.664 4.664 4.664
angles: 60.00 60.00 60.00
Element x y z (fractional)
Zr: 0.500 0.500 0.500
Ir: 0.750 0.750 0.750
Rh: 0.250 0.250 0.250
Tl: 0.000 0.000 0.000

Computed properties:
The space-group type is F-43m, No. 216. Its total magnetic moment is 0.00 Bohr magnetons per cell. The calculation puts the formation energy at -0.36 eV per atom. The calculation puts the total energy at -28.59 eV for the cell shown. The density is 13.677 g/cm3.

No. 11
Tm5IrRh2 after structural relaxation, computed with GGA-PBE.

abc: 7.216 7.216 8.594
angles: 114.82 114.82 90.00
Element x y z (fractional)
Rh: 0.132 0.368 0.000
Rh: 0.868 0.632 0.000
Rh: 0.368 0.868 0.000
Rh: 0.632 0.132 0.000
Tm: 0.530 0.682 0.712
Tm: 0.000 0.000 0.000
Tm: 0.500 0.500 0.000
Tm: 0.818 0.970 0.288
Tm: 0.682 0.182 0.712
Tm: 0.318 0.818 0.288
Tm: 0.970 0.470 0.288
Tm: 0.182 0.030 0.712
Tm: 0.030 0.530 0.712
Tm: 0.470 0.318 0.288
Ir: 0.250 0.250 0.500
Ir: 0.750 0.750 0.500

Computed properties:
The space-group type is I4/mcm, No. 140. Its total magnetic moment is 0.00 Bohr magnetons per cell. The calculation puts the formation energy at -0.79 eV per atom. The calculation puts the total energy at -104.55 eV for the cell shown. The density is 11.461 g/cm3.